No. 1
Below is crystalline Pu3N3O at its relaxed geometry, with properties calculated at the PBE-GGA level.

The formation energy without anion corrections comes out at -1603.7 meV/atom. Its density is 12494 kg/m3. The value obtained for the calculated volume is 630 Å³/cell. Its energy above the most stable polymorph in this dataset is 0 meV per atom. The uncorrected energy comes out at -12.0223 eV per atom.

The structure belongs to space group R-3 (No. 148, hexagonal axes); the cell edges are 6.6113, 6.6113 and 16.6434 Å and the angles 90.00°, 90.00° and 120.00°. The asymmetric unit holds Pu at (0.0095, 0.6498, 0.4152), N at (0.0114, 0.6971, 0.6138) and O at (0.0000, 0.0000, 0.1737).


No. 2
Below is crystalline NdSClO4 at its relaxed geometry, with properties calculated at the PBE-GGA level.

The formation energy without anion corrections comes out at -2146.7 meV/atom. Its density is 4003 kg/m3. The value obtained for the calculated volume is 458 Å³/cell. The uncorrected energy comes out at -6.5145 eV per atom.

The structure belongs to space group C2/m (No. 12); the cell edges are 9.963, 7.160 and 6.600 Å and the angles 90.00°, 103.61° and 90.00°. The asymmetric unit holds Nd at (0.228, 0.000, 0.141), S at (0.136, 0.500, 0.263), Cl at (0.024, 0.000, 0.762), O at (0.013, 0.500, 0.762), O at (0.181, 0.335, 0.150) and O at (0.210, 0.500, 0.482).


No. 3
Below is crystalline K4Sc3UTe8 at its relaxed geometry, with properties calculated at the PBE-GGA level.

The formation energy without anion corrections comes out at -1141.7 meV/atom. Its density is 4749 kg/m3. The value obtained for the calculated volume is 1626 Å³/cell. The uncorrected energy comes out at -4.8796 eV per atom.

The structure belongs to space group R-3m (No. 166, hexagonal axes); the cell edges are 8.7248, 8.7248 and 24.6628 Å and the angles 90.00°, 90.00° and 120.00°. The asymmetric unit holds K at (0.0000, 0.0000, 0.0000), K at (0.0000, 0.5000, 0.0000), Sc at (0.0000, 0.5000, 0.5000), U at (0.0000, 0.0000, 0.5000), Te at (0.0000, 0.0000, 0.2322) and Te at (0.0120, 0.5060, 0.7657).


No. 4
Below is crystalline Y2HoTl3Te6 at its relaxed geometry, with properties calculated at the PBE-GGA level.

The formation energy without anion corrections comes out at -1061.6 meV/atom. Its density is 6794 kg/m3. The value obtained for the calculated volume is 841 Å³/cell. The uncorrected energy comes out at -4.6828 eV per atom.

The structure belongs to space group C2/m (No. 12); the cell edges are 7.706, 13.346 and 8.576 Å and the angles 90.00°, 107.43° and 90.00°. The asymmetric unit holds Y at (0.000, 0.167, 0.000), Ho at (0.000, 0.500, 0.000), Tl at (0.000, 0.000, 0.500), Tl at (0.000, 0.333, 0.500), Te at (0.237, 0.334, 0.213) and Te at (0.239, 0.000, 0.214).


No. 5
Below is crystalline CaCu2Se at its relaxed geometry, with properties calculated at the PBE-GGA level.

The formation energy without anion corrections comes out at -342.7 meV/atom. Its density is 5421 kg/m3. The value obtained for the calculated volume is 75 Å³/cell. The uncorrected energy comes out at -3.7623 eV per atom.

The structure belongs to space group P4/mmm (No. 123); the cell edges are 3.927, 3.927 and 4.890 Å and the angles 90.00°, 90.00° and 90.00°. The asymmetric unit holds Ca at (0.000, 0.000, 0.000), Cu at (0.000, 0.500, 0.500) and Se at (0.500, 0.500, 0.000).


No. 6
Below is crystalline Dy4AgIr2 at its relaxed geometry, with properties calculated at the PBE-GGA level.

Its density is 11518 kg/m3. The value obtained for the calculated volume is 494 Å³/cell. The calculated formation energy comes out at -0.65 eV/atom. Its energy above the most stable polymorph in this dataset is 0 meV per atom. The uncorrected energy comes out at -6.2226 eV per atom.

The structure belongs to space group R-3m (No. 166, hexagonal axes); the cell edges are 4.8947, 4.8947 and 23.8108 Å and the angles 90.00°, 90.00° and 120.00°. The asymmetric unit holds Dy at (0.0000, 0.0000, 0.1204), Dy at (0.0000, 0.0000, 0.3716), Ag at (0.0000, 0.0000, 0.5000) and Ir at (0.0000, 0.0000, 0.2491).


No. 7
Below is crystalline Sc2ReTc3 at its relaxed geometry, with properties calculated at the PBE-GGA level.

Its density is 9187 kg/m3. The value obtained for the calculated volume is 206 Å³/cell. The calculated formation energy comes out at -0.28 eV/atom. The uncorrected energy comes out at -9.6441 eV per atom.

The structure belongs to space group C2/m (No. 12); the cell edges are 9.038, 5.284 and 5.228 Å and the angles 90.00°, 124.38° and 90.00°. The asymmetric unit holds Sc at (0.126, 0.000, 0.374), Re at (0.000, 0.500, 0.000), Tc at (0.000, 0.500, 0.500) and Tc at (0.250, 0.250, 0.000).


No. 8
Below is crystalline Dy2Tm3Ag3 at its relaxed geometry, with properties calculated at the PBE-GGA level.

Its density is 9524 kg/m3. The value obtained for the calculated volume is 403 Å³/cell. The calculated formation energy comes out at -0.22 eV/atom. The uncorrected energy comes out at -4.1208 eV per atom.

The structure belongs to space group Immm (No. 71); the cell edges are 3.640, 5.192 and 21.318 Å and the angles 90.00°, 90.00° and 90.00°. The asymmetric unit holds Dy at (0.000, 0.000, 0.231), Tm at (0.000, 0.000, 0.000), Tm at (0.000, 0.500, 0.120), Ag at (0.000, 0.000, 0.500) and Ag at (0.000, 0.500, 0.384).